Material: Tb7Bi2Te2
Method: DFT, PBE
State: relaxed

The space group is Cmmm (No. 65) and the conventional cell measures 9.355, 10.979 and 6.960 Å, with angles of 90.00, 90.00 and 90.00 degrees. The inequivalent atoms are Tb at (0.000, 0.000, 0.000), Tb at (0.000, 0.500, 0.259), Tb at (0.250, 0.250, 0.264), Bi at (0.194, 0.000, 0.500) and Te at (0.000, 0.276, 0.000).

Its formation energy (no corrections) is -0.46 eV per atom. The calculation puts the magnetic moment at 0.00 μB per formula unit. The crystal system is orthorhombic.



Material: Pb3Se2O8
Method: DFT, PBE
State: relaxed

The space group is R-3m (No. 166, hexagonal axes) and the conventional cell measures 5.8047, 5.8047 and 21.0626 Å, with angles of 90.00, 90.00 and 120.00 degrees. The inequivalent atoms are Pb at (0.0000, 0.0000, 0.0000), Pb at (0.0000, 0.0000, 0.2033), Se at (0.0000, 0.0000, 0.4014), O at (0.0000, 0.0000, 0.3150) and O at (0.0060, 0.5030, 0.2334).

Its formation energy (no corrections) is -0.76 eV per atom. The calculation puts the magnetic moment at 0.00 μB per formula unit. The crystal system is trigonal.



Material: TaInCoIr
Method: DFT, PBE
State: relaxed

The space group is F-43m (No. 216) and the conventional cell measures 6.342, 6.342 and 6.342 Å, with angles of 90.00, 90.00 and 90.00 degrees. The inequivalent atoms are Ta at (0.000, 0.000, 0.000), In at (0.000, 0.000, 0.500), Co at (0.250, 0.250, 0.750) and Ir at (0.250, 0.250, 0.250).

The calculation puts the energy of formation from the pure elements at -0.212 eV/atom. The calculation puts the magnetic moment at 1.97 μB per formula unit. The crystal system is cubic.



Material: DyAg5
Method: DFT, PBE
State: relaxed

The space group is C2/m (No. 12) and the conventional cell measures 9.595, 4.189 and 6.203 Å, with angles of 90.00, 107.80 and 90.00 degrees. The inequivalent atoms are Dy at (0.000, 0.000, 0.000), Ag at (0.000, 0.000, 0.500), Ag at (0.166, 0.500, 0.822) and Ag at (0.171, 0.500, 0.345).

The calculation puts the energy of formation from the pure elements at -0.106 eV/atom. The calculation puts the magnetic moment at 0.00 μB per formula unit. The crystal system is monoclinic.



Material: VSiPS2
Method: DFT, PBE
State: relaxed

The space group is P4/mmm (No. 123) and the conventional cell measures 4.445, 4.445 and 4.465 Å, with angles of 90.00, 90.00 and 90.00 degrees. The inequivalent atoms are V at (0.000, 0.000, 0.000), Si at (0.500, 0.500, 0.500), P at (0.500, 0.500, 0.000) and S at (0.000, 0.500, 0.500).

Its formation energy (no corrections) is 0.66 eV per atom. The calculation puts the magnetic moment at 0.16 μB per formula unit. The crystal system is tetragonal.



Material: PrNdEr5Th2
Method: DFT, PBE
State: relaxed

The space group is I4/mcm (No. 140) and the conventional cell measures 8.898, 8.898 and 15.155 Å, with angles of 90.00, 90.00 and 90.00 degrees. The inequivalent atoms are Pr at (0.000, 0.000, 0.250), Nd at (0.000, 0.500, 0.250), Er at (0.000, 0.000, 0.000), Er at (0.206, 0.294, 0.136) and Th at (0.118, 0.382, 0.500).

The calculation puts the energy of formation from the pure elements at 0.320 eV/atom. The calculation puts the magnetic moment at 0.00 μB per formula unit. The crystal system is tetragonal.



Material: Hg5I12F3
Method: DFT, PBE
State: relaxed

The space group is Ia-3d (No. 230) and the conventional cell measures 17.927, 17.927 and 17.927 Å, with angles of 90.00, 90.00 and 90.00 degrees. The inequivalent atoms are Hg at (0.000, 0.000, 0.000), Hg at (0.000, 0.250, 0.375), I at (0.034, 0.082, 0.647) and F at (0.000, 0.250, 0.125).

Its formation energy (no corrections) is -0.11 eV per atom. The calculation puts the magnetic moment at 5.27 μB per formula unit. The crystal system is cubic.



Material: MgSi2AgTe6
Method: DFT, PBE
State: relaxed

The space group is C2/c (No. 15) and the conventional cell measures 14.103, 13.023 and 7.312 Å, with angles of 90.00, 110.41 and 90.00 degrees. The inequivalent atoms are Mg at (0.000, 0.135, 0.250), Si at (0.197, 0.421, 0.255), Ag at (0.000, 0.241, 0.750), Te at (0.112, 0.066, 0.645), Te at (0.114, 0.431, 0.517) and Te at (0.145, 0.241, 0.121).

Its formation energy (no corrections) is -0.12 eV per atom. The calculation puts the magnetic moment at 0.00 μB per formula unit. The crystal system is monoclinic.



Material: TaRePd3
Method: DFT, PBE
State: relaxed

The space group is Pm-3m (No. 221) and the conventional cell measures 4.721, 4.721 and 4.721 Å, with angles of 90.00, 90.00 and 90.00 degrees. The inequivalent atoms are Ta at (0.000, 0.000, 0.000), Re at (0.500, 0.500, 0.500) and Pd at (0.000, 0.500, 0.500).

The calculation puts the energy of formation from the pure elements at 1.628 eV/atom. The calculation puts the magnetic moment at 0.00 μB per formula unit. The crystal system is cubic.



Material: ZnCd2Ag
Method: DFT, PBE
State: relaxed

The space group is P4/mmm (No. 123) and the conventional cell measures 4.331, 4.331 and 4.074 Å, with angles of 90.00, 90.00 and 90.00 degrees. The inequivalent atoms are Zn at (0.000, 0.000, 0.000), Cd at (0.000, 0.500, 0.500) and Ag at (0.500, 0.500, 0.000).

The calculation puts the energy of formation from the pure elements at 0.034 eV/atom. The calculation puts the magnetic moment at 0.00 μB per formula unit. The crystal system is tetragonal.



Material: LiPuI6
Method: DFT, PBE
State: relaxed

The space group is R-3 (No. 148, hexagonal axes) and the conventional cell measures 7.5107, 7.5107 and 20.2893 Å, with angles of 90.00, 90.00 and 120.00 degrees. The inequivalent atoms are Li at (0.0000, 0.0000, 0.0000), Pu at (0.0000, 0.0000, 0.5000) and I at (0.0078, 0.3249, 0.5844).

Its formation energy (no corrections) is -0.75 eV per atom. The calculation puts the magnetic moment at 2.98 μB per formula unit. The crystal system is trigonal.



Material: Tb12Nd2Er
Method: DFT, PBE
State: relaxed

The space group is C2/m (No. 12) and the conventional cell measures 7.117, 11.270 and 24.535 Å, with angles of 90.00, 94.18 and 90.00 degrees. The inequivalent atoms are Tb at (0.016, 0.250, 0.073), Tb at (0.111, 0.249, 0.445), Tb at (0.142, 0.500, 0.573), Tb at (0.144, 0.000, 0.572), Tb at (0.169, 0.250, 0.670), Tb at (0.203, 0.250, 0.800), Tb at (0.219, 0.000, 0.865), Tb at (0.219, 0.500, 0.865), Nd at (0.065, 0.500, 0.272), Nd at (0.066, 0.000, 0.272) and Er at (0.250, 0.000, 0.000).

The calculation puts the energy of formation from the pure elements at 0.113 eV/atom. The calculation puts the magnetic moment at 0.00 μB per formula unit. The crystal system is monoclinic.